Computed, not measured: a geometry-optimized CrSe2 structure at the PBEsol level of DFT.

Structure (CIF):
```
data_CrSe2
_cell_length_a 5.843
_cell_length_b 3.459
_cell_length_c 11.688
_cell_angle_alpha 90.00
_cell_angle_beta 90.00
_cell_angle_gamma 90.00
_space_group_name_H-M_alt 'P n m a'
_space_group_IT_number 62
loop_
_space_group_symop_operation_xyz
'x,y,z'
'-x,-y,-z'
'-x+1/2,-y,z+1/2'
'x+1/2,y,-z+1/2'
'x+1/2,-y+1/2,-z+1/2'
'-x+1/2,y+1/2,z+1/2'
'-x,y+1/2,-z'
'x,-y+1/2,z'
loop_
_atom_site_label
_atom_site_type_symbol
_atom_site_fract_x
_atom_site_fract_y
_atom_site_fract_z
Cr1 Cr 0.219 0.250 0.002
Se1 Se 0.083 0.250 0.613
Se2 Se 0.089 0.750 0.866
```

Properties
Volume, Å³/cell: 236.21
Calculated density, g cm⁻³: 5.90
N(E_F), states/eV per cell: 4.03
Crystal system: orthorhombic
Formation energy without anion corrections, kJ per mole of atoms: -41.7


Computed, not measured: a geometry-optimized CrSe2 structure at the PBEsol level of DFT.

Structure (CIF):
```
data_CrSe2
_cell_length_a 3.4458
_cell_length_b 3.4458
_cell_length_c 5.5665
_cell_angle_alpha 90.00
_cell_angle_beta 90.00
_cell_angle_gamma 120.00
_space_group_name_H-M_alt 'P -3 m 1'
_space_group_IT_number 164
_space_group_name_Hall '-P 3 2"'
loop_
_atom_site_label
_atom_site_type_symbol
_atom_site_fract_x
_atom_site_fract_y
_atom_site_fract_z
Cr1 Cr 0.0000 0.0000 0.0000
Se1 Se 0.3333 0.6667 0.7415
```

Properties
Volume, Å³/cell: 57.24
Calculated density, g cm⁻³: 6.09
N(E_F), states/eV per cell: 1.84
Crystal system: trigonal
Formation energy without anion corrections, kJ per mole of atoms: -41.8


Computed, not measured: a geometry-optimized CrSe2 structure at the PBEsol level of DFT.

Structure (CIF):
```
data_CrSe2
_cell_length_a 12.570
_cell_length_b 3.459
_cell_length_c 5.919
_cell_angle_alpha 90.00
_cell_angle_beta 116.76
_cell_angle_gamma 90.00
_space_group_name_H-M_alt 'C 1 2/m 1'
_space_group_IT_number 12
loop_
_space_group_symop_operation_xyz
'x,y,z'
'-x,-y,-z'
'-x,y,-z'
'x,-y,z'
'x+1/2,y+1/2,z'
'-x+1/2,-y+1/2,-z'
'-x+1/2,y+1/2,-z'
'x+1/2,-y+1/2,z'
loop_
_atom_site_label
_atom_site_type_symbol
_atom_site_fract_x
_atom_site_fract_y
_atom_site_fract_z
Cr1 Cr 0.248 0.000 0.272
Se1 Se 0.113 0.500 0.286
Se2 Se 0.132 0.000 0.803
```

Properties
Volume, Å³/cell: 229.78
Calculated density, g cm⁻³: 6.07
N(E_F), states/eV per cell: 5.79
Crystal system: monoclinic
Formation energy without anion corrections, kJ per mole of atoms: -42.3


Computed, not measured: a geometry-optimized Cr3Se structure at the PBEsol level of DFT.

Structure (CIF):
```
data_Cr3Se
_cell_length_a 3.432
_cell_length_b 3.432
_cell_length_c 8.141
_cell_angle_alpha 90.00
_cell_angle_beta 90.00
_cell_angle_gamma 90.00
_space_group_name_H-M_alt 'I 4/m m m'
_space_group_IT_number 139
_space_group_name_Hall '-I 4 2'
loop_
_atom_site_label
_atom_site_type_symbol
_atom_site_fract_x
_atom_site_fract_y
_atom_site_fract_z
Cr1 Cr 0.000 0.000 0.000
Cr2 Cr 0.000 0.500 0.250
Se1 Se 0.000 0.000 0.500
```

Properties
Volume, Å³/cell: 95.89
Calculated density, g cm⁻³: 8.14
N(E_F), states/eV per cell: 7.02
Crystal system: tetragonal
E above lowest polymorph, meV per atom: 77
Formation energy without anion corrections, kJ per mole of atoms: 26.2


Computed, not measured: a geometry-optimized Cr2Se3 structure at the PBEsol level of DFT.

Structure (CIF):
```
data_Cr2Se3
_cell_length_a 6.2421
_cell_length_b 6.2421
_cell_length_c 17.1735
_cell_angle_alpha 90.00
_cell_angle_beta 90.00
_cell_angle_gamma 120.00
_space_group_name_H-M_alt 'R -3'
_space_group_IT_number 148
_space_group_name_Hall '-R 3'
loop_
_atom_site_label
_atom_site_type_symbol
_atom_site_fract_x
_atom_site_fract_y
_atom_site_fract_z
Cr1 Cr 0.0000 0.0000 0.0000
Cr2 Cr 0.0000 0.0000 0.1751
Cr3 Cr 0.0000 0.0000 0.5000
Se1 Se 0.0041 0.6594 0.7522
```

Properties
Volume, Å³/cell: 579.50
Calculated density, g cm⁻³: 5.86
N(E_F), states/eV per cell: 6.67
Crystal system: trigonal
Formation energy without anion corrections, kJ per mole of atoms: -44.8


Computed, not measured: a geometry-optimized CrSiSe2 structure at the PBEsol level of DFT.

Structure (CIF):
```
data_CrSiSe2
_cell_length_a 6.501
_cell_length_b 6.501
_cell_length_c 6.501
_cell_angle_alpha 90.00
_cell_angle_beta 90.00
_cell_angle_gamma 90.00
_space_group_name_H-M_alt 'F -4 3 m'
_space_group_IT_number 216
_space_group_name_Hall 'F -4 2 3'
loop_
_atom_site_label
_atom_site_type_symbol
_atom_site_fract_x
_atom_site_fract_y
_atom_site_fract_z
Cr1 Cr 0.000 0.000 0.000
Si1 Si 0.250 0.250 0.750
Se1 Se 0.000 0.000 0.500
Se2 Se 0.250 0.250 0.250
```

Properties
Volume, Å³/cell: 274.71
Calculated density, g cm⁻³: 5.75
N(E_F), states/eV per cell: 12.35
Crystal system: cubic
Formation energy without anion corrections, kJ per mole of atoms: 55.7


Computed, not measured: a geometry-optimized Cr2SiSe structure at the PBEsol level of DFT.

Structure (CIF):
```
data_Cr2SiSe
_cell_length_a 3.070
_cell_length_b 3.070
_cell_length_c 5.407
_cell_angle_alpha 90.00
_cell_angle_beta 90.00
_cell_angle_gamma 90.00
_space_group_name_H-M_alt 'P 4 m m'
_space_group_IT_number 99
loop_
_space_group_symop_operation_xyz
'x,y,z'
'-y,x,z'
'-x,-y,z'
'y,-x,z'
'-x,y,z'
'y,x,z'
'x,-y,z'
'-y,-x,z'
loop_
_atom_site_label
_atom_site_type_symbol
_atom_site_fract_x
_atom_site_fract_y
_atom_site_fract_z
Cr1 Cr 0.000 0.000 0.000
Cr2 Cr 0.500 0.500 0.310
Si1 Si 0.500 0.500 0.834
Se1 Se 0.000 0.000 0.506
```

Properties
Volume, Å³/cell: 50.96
Calculated density, g cm⁻³: 6.88
N(E_F), states/eV per cell: 3.15
Crystal system: tetragonal
Formation energy without anion corrections, kJ per mole of atoms: -4.2


Computed, not measured: a geometry-optimized CrSiSe2 structure at the PBEsol level of DFT.

Structure (CIF):
```
data_CrSiSe2
_cell_length_a 5.381
_cell_length_b 7.371
_cell_length_c 3.691
_cell_angle_alpha 90.00
_cell_angle_beta 90.00
_cell_angle_gamma 90.00
_space_group_name_H-M_alt 'C m m m'
_space_group_IT_number 65
_space_group_name_Hall '-C 2 2'
loop_
_atom_site_label
_atom_site_type_symbol
_atom_site_fract_x
_atom_site_fract_y
_atom_site_fract_z
Cr1 Cr 0.000 0.000 0.000
Si1 Si 0.000 0.500 0.000
Se1 Se 0.000 0.234 0.500
```

Properties
Volume, Å³/cell: 146.40
Calculated density, g cm⁻³: 5.40
N(E_F), states/eV per cell: 3.27
Crystal system: orthorhombic
Formation energy without anion corrections, kJ per mole of atoms: 12.7


Computed, not measured: a geometry-optimized Cr4SiSe structure at the PBEsol level of DFT.

Structure (CIF):
```
data_Cr4SiSe
_cell_length_a 6.712
_cell_length_b 6.712
_cell_length_c 6.712
_cell_angle_alpha 90.00
_cell_angle_beta 90.00
_cell_angle_gamma 90.00
_space_group_name_H-M_alt 'F -4 3 m'
_space_group_IT_number 216
_space_group_name_Hall 'F -4 2 3'
loop_
_atom_site_label
_atom_site_type_symbol
_atom_site_fract_x
_atom_site_fract_y
_atom_site_fract_z
Cr1 Cr 0.124 0.124 0.376
Si1 Si 0.000 0.000 0.000
Se1 Se 0.250 0.250 0.750
```

Properties
Volume, Å³/cell: 302.32
Calculated density, g cm⁻³: 6.92
N(E_F), states/eV per cell: 21.15
Crystal system: cubic
Formation energy without anion corrections, kJ per mole of atoms: 34.9


Computed, not measured: a geometry-optimized CrSi2Se structure at the PBEsol level of DFT.

Structure (CIF):
```
data_CrSi2Se
_cell_length_a 5.787
_cell_length_b 5.787
_cell_length_c 10.044
_cell_angle_alpha 90.00
_cell_angle_beta 90.00
_cell_angle_gamma 90.00
_space_group_name_H-M_alt 'I -4 2 d'
_space_group_IT_number 122
_space_group_name_Hall 'I -4 2bw'
loop_
_atom_site_label
_atom_site_type_symbol
_atom_site_fract_x
_atom_site_fract_y
_atom_site_fract_z
Cr1 Cr 0.000 0.000 0.000
Si1 Si 0.234 0.750 0.125
Se1 Se 0.000 0.000 0.500
```

Properties
Volume, Å³/cell: 336.41
Calculated density, g cm⁻³: 3.69
N(E_F), states/eV per cell: 7.93
Crystal system: tetragonal
Formation energy without anion corrections, kJ per mole of atoms: 59.1


Computed, not measured: a geometry-optimized CrSi2Se structure at the PBEsol level of DFT.

Structure (CIF):
```
data_CrSi2Se
_cell_length_a 3.508
_cell_length_b 3.508
_cell_length_c 5.188
_cell_angle_alpha 90.00
_cell_angle_beta 90.00
_cell_angle_gamma 90.00
_space_group_name_H-M_alt 'P 4/m m m'
_space_group_IT_number 123
_space_group_name_Hall '-P 4 2'
loop_
_atom_site_label
_atom_site_type_symbol
_atom_site_fract_x
_atom_site_fract_y
_atom_site_fract_z
Cr1 Cr 0.000 0.000 0.000
Si1 Si 0.000 0.500 0.500
Se1 Se 0.500 0.500 0.000
```

Properties
Volume, Å³/cell: 63.85
Calculated density, g cm⁻³: 4.87
N(E_F), states/eV per cell: 2.19
Crystal system: tetragonal
Formation energy without anion corrections, kJ per mole of atoms: 29.5


Computed, not measured: a geometry-optimized CrSi2Se structure at the PBEsol level of DFT.

Structure (CIF):
```
data_CrSi2Se
_cell_length_a 5.332
_cell_length_b 7.204
_cell_length_c 2.943
_cell_angle_alpha 90.00
_cell_angle_beta 90.00
_cell_angle_gamma 90.00
_space_group_name_H-M_alt 'C m m m'
_space_group_IT_number 65
_space_group_name_Hall '-C 2 2'
loop_
_atom_site_label
_atom_site_type_symbol
_atom_site_fract_x
_atom_site_fract_y
_atom_site_fract_z
Cr1 Cr 0.000 0.000 0.000
Si1 Si 0.250 0.250 0.500
Se1 Se 0.000 0.500 0.000
```

Properties
Volume, Å³/cell: 113.03
Calculated density, g cm⁻³: 5.50
N(E_F), states/eV per cell: 5.26
Crystal system: orthorhombic
Formation energy without anion corrections, kJ per mole of atoms: 34.9


Q: Among the records above, which one has the highest volume?
A: Cr2Se3